Tl2CdIn: relaxed, GGA-PBE.

```
Tl2CdIn
1.0
3.635 0.000 0.000
0.000 5.643 0.000
0.000 0.000 11.066
Tl Cd In
4 2 2
direct
0.000 0.000 0.244
0.000 0.000 0.756
0.500 0.500 0.244
0.500 0.500 0.756
0.000 0.500 0.000
0.500 0.000 0.000
0.000 0.500 0.500
0.500 0.000 0.500
```

Output
space-group type	Cmmm (65)


Tl2Cd2In: relaxed, GGA-PBE.

```
Tl2Cd2In
1.0
4.545 0.000 0.000
0.000 4.545 0.000
0.000 0.000 14.329
Tl Cd In
4 4 2
direct
0.000 0.500 0.250
0.000 0.500 0.750
0.500 0.000 0.250
0.500 0.000 0.750
0.000 0.000 0.097
0.000 0.000 0.903
0.500 0.500 0.403
0.500 0.500 0.597
0.000 0.000 0.500
0.500 0.500 0.000
```

Output
space-group type	I4/mmm (139)


no.,distance to the lowest polymorph of the same formula (meV per atom),total energy (eV per cell),energy relative to the elements (eV/atom)
1,35.1,-16.3,0.055
2,106.2,-17.2,0.144